Entry 1:
# NbZnBPd2, optimized geometry, DFT GGA-PBE
data_NbZnBPd2
_chemical_formula_sum 'Nb1 Zn1 B1 Pd2'
_cell_length_a 4.470
_cell_length_b 4.470
_cell_length_c 4.890
_cell_angle_alpha 90.00
_cell_angle_beta 90.00
_cell_angle_gamma 90.00
_symmetry_space_group_name_H-M 'P 4/m m m'
_symmetry_Int_Tables_number 123
_symmetry_space_group_name_Hall '-P 4 2'
loop_
_atom_site_label
_atom_site_fract_x
_atom_site_fract_y
_atom_site_fract_z
Nb1 0.000 0.000 0.000
Zn1 0.000 0.000 0.500
B1 0.500 0.500 0.000
Pd1 0.000 0.500 0.500
# Fermi-level density of states ... 1.190 states/eV per atom
# M_tot ... 1.67 μB per formula unit
# DFT formation energy ... 154.7 kJ per mole of atoms



Entry 2:
# NbBPt2, optimized geometry, DFT GGA-PBE
data_NbBPt2
_chemical_formula_sum 'Nb4 B4 Pt8'
_cell_length_a 5.382
_cell_length_b 5.382
_cell_length_c 10.068
_cell_angle_alpha 90.00
_cell_angle_beta 90.00
_cell_angle_gamma 90.00
_symmetry_space_group_name_H-M 'I -4 2 d'
_symmetry_Int_Tables_number 122
_symmetry_space_group_name_Hall 'I -4 2bw'
loop_
_atom_site_label
_atom_site_fract_x
_atom_site_fract_y
_atom_site_fract_z
Nb1 0.000 0.000 0.000
B1 0.000 0.000 0.500
Pt1 0.172 0.250 0.625
# Fermi-level density of states ... 0.475 states/eV per atom
# M_tot ... 0.00 μB per formula unit
# DFT formation energy ... 3.1 kJ per mole of atoms



Entry 3:
# Nb2B2Pt, optimized geometry, DFT GGA-PBE
data_Nb2B2Pt
_chemical_formula_sum 'Nb4 B4 Pt2'
_cell_length_a 7.047
_cell_length_b 7.047
_cell_length_c 2.737
_cell_angle_alpha 90.00
_cell_angle_beta 90.00
_cell_angle_gamma 90.00
_symmetry_space_group_name_H-M 'P 4/m b m'
_symmetry_Int_Tables_number 127
_symmetry_space_group_name_Hall '-P 4 2ab'
loop_
_atom_site_label
_atom_site_fract_x
_atom_site_fract_y
_atom_site_fract_z
Nb1 0.140 0.360 0.000
B1 0.159 0.659 0.500
Pt1 0.000 0.000 0.000
# Fermi-level density of states ... 0.689 states/eV per atom
# M_tot ... 0.00 μB per formula unit
# Distance to the lowest polymorph of the same formula ... 942 meV/atom
# DFT formation energy ... 30.9 kJ per mole of atoms



Entry 4:
# Nb2B2Pt, optimized geometry, DFT GGA-PBE
data_Nb2B2Pt
_chemical_formula_sum 'Nb4 B4 Pt2'
_cell_length_a 5.734
_cell_length_b 5.734
_cell_length_c 3.771
_cell_angle_alpha 90.00
_cell_angle_beta 90.00
_cell_angle_gamma 90.00
_symmetry_space_group_name_H-M 'P 4/m b m'
_symmetry_Int_Tables_number 127
_symmetry_space_group_name_Hall '-P 4 2ab'
loop_
_atom_site_label
_atom_site_fract_x
_atom_site_fract_y
_atom_site_fract_z
Nb1 0.167 0.333 0.000
B1 0.113 0.613 0.500
Pt1 0.000 0.000 0.500
# Fermi-level density of states ... 0.459 states/eV per atom
# M_tot ... 0.00 μB per formula unit
# Distance to the lowest polymorph of the same formula ... 0 meV/atom
# DFT formation energy ... -60.0 kJ per mole of atoms



Entry 5:
# NbB2Pt, optimized geometry, DFT GGA-PBE
data_NbB2Pt
_chemical_formula_sum 'Nb4 B8 Pt4'
_cell_length_a 5.696
_cell_length_b 5.696
_cell_length_c 5.696
_cell_angle_alpha 90.00
_cell_angle_beta 90.00
_cell_angle_gamma 90.00
_symmetry_space_group_name_H-M 'F m -3 m'
_symmetry_Int_Tables_number 225
_symmetry_space_group_name_Hall '-F 4 2 3'
loop_
_atom_site_label
_atom_site_fract_x
_atom_site_fract_y
_atom_site_fract_z
Nb1 0.000 0.000 0.000
B1 0.250 0.250 0.250
Pt1 0.000 0.000 0.500
# Fermi-level density of states ... 1.137 states/eV per atom
# M_tot ... 0.60 μB per formula unit
# Distance to the lowest polymorph of the same formula ... 0 meV/atom
# DFT formation energy ... 30.0 kJ per mole of atoms



Entry 6:
# NbBPt2, optimized geometry, DFT GGA-PBE
data_NbBPt2
_chemical_formula_sum 'Nb3 B3 Pt6'
_cell_length_a 2.9544
_cell_length_b 2.9544
_cell_length_c 24.3330
_cell_angle_alpha 90.00
_cell_angle_beta 90.00
_cell_angle_gamma 120.00
_symmetry_space_group_name_H-M 'R -3 m'
_symmetry_Int_Tables_number 166
_symmetry_space_group_name_Hall '-R 3 2"'
loop_
_atom_site_label
_atom_site_fract_x
_atom_site_fract_y
_atom_site_fract_z
Nb1 0.0000 0.0000 0.0000
B1 0.0000 0.0000 0.5000
Pt1 0.0000 0.0000 0.1108
# Fermi-level density of states ... 0.655 states/eV per atom
# M_tot ... 0.00 μB per formula unit
# DFT formation energy ... 12.0 kJ per mole of atoms



Entry 7:
# Nb2B2Pt, optimized geometry, DFT GGA-PBE
data_Nb2B2Pt
_chemical_formula_sum 'Nb4 B4 Pt2'
_cell_length_a 2.853
_cell_length_b 2.853
_cell_length_c 15.914
_cell_angle_alpha 90.00
_cell_angle_beta 90.00
_cell_angle_gamma 90.00
_symmetry_space_group_name_H-M 'I 4/m m m'
_symmetry_Int_Tables_number 139
_symmetry_space_group_name_Hall '-I 4 2'
loop_
_atom_site_label
_atom_site_fract_x
_atom_site_fract_y
_atom_site_fract_z
Nb1 0.000 0.000 0.129
B1 0.000 0.500 0.250
Pt1 0.000 0.000 0.500
# Fermi-level density of states ... 0.806 states/eV per atom
# M_tot ... 0.00 μB per formula unit
# Distance to the lowest polymorph of the same formula ... 437 meV/atom
# DFT formation energy ... -17.8 kJ per mole of atoms



Entry 8:
# NbB2Pt, optimized geometry, DFT GGA-PBE
data_NbB2Pt
_chemical_formula_sum 'Nb4 B8 Pt4'
_cell_length_a 4.473
_cell_length_b 4.473
_cell_length_c 11.546
_cell_angle_alpha 90.00
_cell_angle_beta 90.00
_cell_angle_gamma 90.00
_symmetry_space_group_name_H-M 'I -4 2 d'
_symmetry_Int_Tables_number 122
_symmetry_space_group_name_Hall 'I -4 2bw'
loop_
_atom_site_label
_atom_site_fract_x
_atom_site_fract_y
_atom_site_fract_z
Nb1 0.000 0.000 0.000
B1 0.201 0.250 0.625
Pt1 0.000 0.000 0.500
# Fermi-level density of states ... 0.539 states/eV per atom
# M_tot ... 0.00 μB per formula unit
# Distance to the lowest polymorph of the same formula ... 43 meV/atom
# DFT formation energy ... 34.2 kJ per mole of atoms